Material: ZnTc3Ni
Method: DFT, PBE-GGA
State: optimized geometry

Structure (extended XYZ):
```
5
Lattice="4.4241 0.0000 0.0000 0.0000 4.4241 0.0000 0.0000 0.0000 4.4241" Properties=species:S:1:pos:R:3 pbc="T T T"
Zn 0.0000 0.0000 0.0000
Tc 0.0000 2.2120 2.2120
Tc 2.2120 0.0000 2.2120
Tc 2.2120 2.2120 0.0000
Ni 2.2120 2.2120 2.2120
```

Summary:
**ΔH_f (0 K)**: 1458 meV per atom
**Energy above the lowest structure with this stoichiometry**: 0 meV per atom
**Symmetry**: Pm-3m

Material: MgBePt
Method: DFT, PBE-GGA
State: optimized geometry

Structure (extended XYZ):
```
6
Lattice="-2.3665 2.7051 3.2827 2.3665 -2.7051 3.2827 2.3665 2.7051 -3.2827" Properties=species:S:1:pos:R:3 pbc="T T T"
Mg 0.0000 1.3525 0.8172
Mg 2.3665 1.3525 2.4655
Be 1.1833 1.3525 -1.6414
Be 1.1833 -1.3525 1.6414
Pt 2.3665 0.0000 0.0000
Pt 0.0000 0.0000 3.2827
```

Summary:
**ΔH_f (0 K)**: -669 meV per atom
**Energy above the lowest structure with this stoichiometry**: 0 meV per atom
**Symmetry**: Imma

Material: Bi2OsO6
Method: DFT, PBE-GGA
State: optimized geometry

Structure (extended XYZ):
```
18
Lattice="2.6642 -8.5323 0.0000 2.6642 8.5323 0.0000 0.0000 0.0000 5.3516" Properties=species:S:1:pos:R:3 pbc="T T T"
Bi 2.6642 5.5944 5.2399
Bi 2.6642 2.9379 2.5641
Bi 2.6642 -2.9379 2.7875
Bi 2.6642 -5.5944 0.1117
Os 0.0000 0.0000 2.6758
Os 2.6642 0.0000 0.0000
O 3.9963 -4.2651 1.3379
O 1.3321 4.2651 4.0137
O 2.6642 6.6186 3.0199
O 1.3321 0.2563 4.0137
O 1.3321 -0.2563 1.3379
O 2.6642 1.9138 0.3442
O 1.3321 -4.2651 1.3379
O 3.9963 4.2651 4.0137
O 2.6642 -1.9138 5.0074
O 3.9963 0.2563 4.0137
O 3.9963 -0.2563 1.3379
O 2.6642 -6.6186 2.3316
```

Summary:
**E_form (uncorrected)**: -1.126 eV/atom
**Energy above the lowest structure with this stoichiometry**: 0 meV per atom
**Symmetry**: Cmce

Material: LuHf2Fe
Method: DFT, PBE-GGA
State: optimized geometry

Structure (extended XYZ):
```
4
Lattice="1.6054 0.9269 9.8497 -1.6054 0.9269 9.8497 0.0000 -1.8537 9.8497" Properties=species:S:1:pos:R:3 pbc="T T T"
Lu 0.0000 0.0000 0.0000
Hf 0.0000 0.0000 3.1657
Hf 0.0000 0.0000 26.3835
Fe 0.0000 0.0000 14.7746
```

Summary:
**ΔH_f (0 K)**: 299 meV per atom
**Energy above the lowest structure with this stoichiometry**: 291 meV per atom
**Symmetry**: R-3m